{
  "formula": "Ac4Sb2TeS",
  "functional": "PBE-GGA",
  "state": "relaxed",
  "lattice": [[8.0155, 0.0000, 0.0000], [0.0000, 4.6926, 0.0000], [-2.7438, 0.0000, 7.6708]],
  "species": ["Ac", "Ac", "Ac", "Ac", "Sb", "Sb", "Te", "S"],
  "fractional_positions": [[0.2409, 0.0000, 0.2360], [0.2477, 0.5000, 0.7615], [0.7523, 0.5000, 0.2385], [0.7591, 0.0000, 0.7640], [0.5000, 0.0000, 0.0000], [0.5000, 0.5000, 0.5000], [0.0000, 0.0000, 0.5000], [0.0000, 0.5000, 0.0000]],
  "space_group": "P2/m (10)",
  "raw_formation_energy_ev_per_atom": -1.468,
  "total_magnetization_mub_per_fu": 0.00,
  "rho_g_cm3": 7.55
}